First-principles (PBE+U) data for a relaxed structure of BaMgCoF7, as listed in Alexandria.

Calculated values
Raw total energy ... -208.0 eV per cell
Symmetry ... P2_1/c, No. 14

The structure in extended XYZ format:
```
40
Lattice="9.9500 0.0000 0.0000 0.0000 5.6657 -0.0027 0.0000 0.5309 9.5842" Properties=species:S:1:pos:R:3 pbc="T T T"
F 9.4883 2.4564 6.0638
F 7.1242 3.3930 7.1590
F 3.1193 1.4721 0.0673
F 7.7806 5.9166 7.1867
F 1.8557 1.7376 4.8594
F 0.4082 2.2241 1.1874
F 5.5077 1.0941 8.3626
F 7.1444 5.6511 2.3946
F 8.0943 4.4590 4.7221
F 6.8308 4.7245 9.5142
F 4.5133 4.0056 8.3098
F 4.4423 5.1025 1.2189
F 5.3833 3.7070 3.6020
F 5.4367 2.1910 1.2717
F 9.5418 3.9725 8.3941
F 0.4617 3.7402 3.5176
F 5.4476 5.3415 6.0763
F 2.1491 3.0690 7.2146
F 7.8009 3.1276 2.3669
F 2.8259 2.8036 2.4225
F 9.4173 0.8287 3.5704
F 4.5024 0.8551 3.5052
F 9.4774 5.0761 1.2842
F 0.5327 5.3679 6.0110
F 2.1694 0.2800 2.3948
F 4.5668 2.4895 5.9795
F 2.8056 0.5455 7.1869
F 0.4726 1.1205 8.2973
Co 1.1232 1.4680 6.6120
Co 8.8268 4.7286 2.9694
Co 3.8518 1.2026 1.8199
Co 6.0982 4.9940 7.7615
Ba 3.1556 4.4120 4.8053
Ba 6.7945 1.7846 4.7761
Ba 8.1306 2.0501 9.5682
Ba 1.8195 4.1465 0.0132
Mg 5.9968 4.0552 1.8141
Mg 8.9283 4.3207 6.6062
Mg 1.0218 1.8759 2.9753
Mg 3.9532 2.1414 7.7674
```